Entry 1:
{"formula": "Be2Te7Cl6", "functional": "GGA-PBEsol", "state": "optimized geometry", "lattice": [[5.532, 0.000, 0.000], [0.000, 10.361, 0.000], [0.000, 0.000, 16.832]], "species": ["Be", "Be", "Be", "Be", "Te", "Te", "Te", "Te", "Te", "Te", "Te", "Te", "Te", "Te", "Te", "Te", "Te", "Te", "Cl", "Cl", "Cl", "Cl", "Cl", "Cl", "Cl", "Cl", "Cl", "Cl", "Cl", "Cl"], "fractional_positions": [[0.500, 0.000, 0.919], [0.000, 0.500, 0.581], [0.500, 0.000, 0.081], [0.000, 0.500, 0.419], [0.000, 0.000, 0.500], [0.500, 0.500, 0.000], [0.329, 0.896, 0.372], [0.671, 0.104, 0.372], [0.171, 0.396, 0.128], [0.829, 0.604, 0.128], [0.671, 0.104, 0.628], [0.329, 0.896, 0.628], [0.829, 0.604, 0.872], [0.171, 0.396, 0.872], [0.000, 0.000, 0.261], [0.500, 0.500, 0.239], [0.000, 0.000, 0.739], [0.500, 0.500, 0.761], [0.731, 0.914, 0.000], [0.269, 0.086, 0.000], [0.769, 0.414, 0.500], [0.231, 0.586, 0.500], [0.344, 0.863, 0.853], [0.656, 0.137, 0.853], [0.156, 0.363, 0.647], [0.844, 0.637, 0.647], [0.656, 0.137, 0.147], [0.344, 0.863, 0.147], [0.844, 0.637, 0.353], [0.156, 0.363, 0.353]], "sg": "Pnnm", "formation_energy_uncorrected_kj_per_mol_fu": -935, "energy_ev_per_atom": -3.63, "m_tot_mub_per_atom": 0.00}


Entry 2:
{"formula": "LiTlMo2", "functional": "GGA-PBEsol", "state": "optimized geometry", "lattice": [[-1.962, 0.822, -1.742], [-1.913, -0.546, 1.897], [0.712, 8.264, 3.097]], "species": ["Li", "Mo", "Mo", "Tl"], "fractional_positions": [[0.500, 0.500, 0.500], [0.000, 0.000, 0.739], [0.000, 0.000, 0.261], [0.500, 0.500, 0.000]], "sg": "P4/mmm", "e_above_lowest_polymorph_mev_per_atom": 322, "energy_ev_per_atom": -6.18, "m_tot_mub_per_atom": 0.00}


Entry 3:
{"formula": "ZrTiF2", "functional": "GGA-PBEsol", "state": "optimized geometry", "lattice": [[-0.893, -1.541, -3.596], [3.302, -2.275, 0.155], [-4.817, -3.127, 4.776]], "species": ["F", "F", "F", "F", "Zr", "Zr", "Ti", "Ti"], "fractional_positions": [[0.387, 0.875, 0.250], [0.863, 0.375, 0.250], [0.125, 0.137, 0.750], [0.625, 0.613, 0.750], [0.250, 0.750, 0.500], [0.000, 0.000, 0.000], [0.750, 0.250, 0.500], [0.500, 0.500, 0.000]], "sg": "I-42d", "formation_energy_uncorrected_kj_per_mol_fu": -613, "energy_ev_per_atom": -6.91, "m_tot_mub_per_atom": 0.00}


Entry 4:
{"formula": "AgGePCl2", "functional": "GGA-PBEsol", "state": "optimized geometry", "lattice": [[-1.484, -0.542, -4.533], [-3.774, -2.536, 1.538], [-2.624, 4.128, 0.366]], "species": ["P", "Ge", "Ag", "Cl", "Cl"], "fractional_positions": [[0.000, 0.000, 0.500], [0.000, 0.000, 0.000], [0.500, 0.500, 0.500], [0.000, 0.500, 0.000], [0.500, 0.000, 0.000]], "sg": "P4/mmm", "e_above_lowest_polymorph_mev_per_atom": 0, "formation_energy_uncorrected_kj_per_mol_fu": 144, "energy_ev_per_atom": -3.31, "m_tot_mub_per_atom": 0.21}


Entry 5:
{"formula": "CaYTc2C", "functional": "GGA-PBEsol", "state": "optimized geometry", "lattice": [[-1.900, 0.975, -3.564], [-3.607, 0.383, 2.027], [0.931, 4.656, 0.777]], "species": ["Y", "C", "Ca", "Tc", "Tc"], "fractional_positions": [[0.000, 0.000, 0.500], [0.000, 0.000, 0.000], [0.500, 0.500, 0.500], [0.000, 0.500, 0.000], [0.500, 0.000, 0.000]], "sg": "P4/mmm", "energy_ev_per_atom": -8.04, "m_tot_mub_per_atom": 0.00}


Entry 6:
{"formula": "Hg4IrPb", "functional": "GGA-PBEsol", "state": "optimized geometry", "lattice": [[5.656, 0.000, 0.000], [2.828, 4.898, 0.000], [2.828, 1.633, 4.618]], "species": ["Hg", "Hg", "Hg", "Hg", "Ir", "Pb"], "fractional_positions": [[0.127, 0.624, 0.624], [0.624, 0.624, 0.624], [0.624, 0.127, 0.624], [0.624, 0.624, 0.127], [0.250, 0.250, 0.250], [0.000, 0.000, 0.000]], "sg": "F-43m", "energy_ev_per_atom": -2.14, "m_tot_mub_per_atom": 0.00}


Entry 7:
{"formula": "ScGaOs2W", "functional": "GGA-PBEsol", "state": "optimized geometry", "lattice": [[4.521, 0.000, 0.000], [0.000, 4.521, 0.000], [0.000, 0.000, 4.558]], "species": ["Sc", "Os", "Os", "Ga", "W"], "fractional_positions": [[0.000, 0.000, 0.000], [0.000, 0.500, 0.000], [0.500, 0.000, 0.000], [0.000, 0.000, 0.500], [0.500, 0.500, 0.500]], "sg": "P4/mmm", "energy_ev_per_atom": -7.37, "m_tot_mub_per_atom": 0.28}


Entry 8:
{"formula": "MgTa2Au", "functional": "GGA-PBEsol", "state": "optimized geometry", "lattice": [[-0.931, 2.524, -0.856], [-1.932, -1.264, -1.624], [-5.757, 0.158, 6.726]], "species": ["Au", "Mg", "Ta", "Ta"], "fractional_positions": [[0.000, 0.000, 0.500], [0.500, 0.500, 0.733], [0.000, 0.000, 0.007], [0.500, 0.500, 0.260]], "sg": "P4mm", "energy_ev_per_atom": -7.74, "m_tot_mub_per_atom": 0.00}


Entry 9:
{"formula": "LiCuAu", "functional": "GGA-PBEsol", "state": "optimized geometry", "lattice": [[2.708, 0.000, 0.000], [0.000, 3.816, 0.000], [-1.354, -1.908, 3.971]], "species": ["Au", "Cu", "Li"], "fractional_positions": [[0.001, 0.001, 0.003], [0.665, 0.665, 0.331], [0.333, 0.333, 0.666]], "sg": "Imm2", "e_above_lowest_polymorph_mev_per_atom": 0, "energy_ev_per_atom": -3.65, "m_tot_mub_per_atom": 0.00}


Entry 10:
{"formula": "Ca4Al6WO16", "functional": "GGA-PBEsol", "state": "optimized geometry", "lattice": [[8.034, 0.000, 0.000], [-2.620, 7.595, 0.000], [0.000, 0.000, 26.140]], "species": ["Ca", "Ca", "Ca", "Ca", "Ca", "Ca", "Ca", "Ca", "Ca", "Ca", "Ca", "Ca", "Ca", "Ca", "Ca", "Ca", "Al", "Al", "Al", "Al", "Al", "Al", "Al", "Al", "Al", "Al", "Al", "Al", "Al", "Al", "Al", "Al", "Al", "Al", "Al", "Al", "Al", "Al", "Al", "Al", "W", "W", "W", "W", "O", "O", "O", "O", "O", "O", "O", "O", "O", "O", "O", "O", "O", "O", "O", "O", "O", "O", "O", "O", "O", "O", "O", "O", "O", "O", "O", "O", "O", "O", "O", "O", "O", "O", "O", "O", "O", "O", "O", "O", "O", "O", "O", "O", "O", "O", "O", "O", "O", "O", "O", "O", "O", "O", "O", "O", "O", "O", "O", "O", "O", "O", "O", "O"], "fractional_positions": [[0.759, 0.731, 0.880], [0.511, 0.984, 0.750], [0.755, 0.809, 0.639], [0.259, 0.231, 0.620], [0.731, 0.759, 0.120], [0.434, 0.971, 0.483], [0.011, 0.484, 0.750], [0.934, 0.471, 0.017], [0.231, 0.259, 0.380], [0.255, 0.309, 0.861], [0.471, 0.934, 0.983], [0.971, 0.434, 0.517], [0.309, 0.255, 0.139], [0.809, 0.755, 0.361], [0.484, 0.011, 0.250], [0.984, 0.511, 0.250], [0.363, 0.589, 0.063], [0.589, 0.363, 0.937], [0.089, 0.863, 0.563], [0.874, 0.122, 0.815], [0.360, 0.630, 0.559], [0.752, 0.760, 0.243], [0.244, 0.244, 0.500], [0.385, 0.638, 0.190], [0.227, 0.227, 0.000], [0.760, 0.752, 0.757], [0.138, 0.885, 0.690], [0.260, 0.252, 0.743], [0.638, 0.385, 0.810], [0.122, 0.874, 0.185], [0.374, 0.622, 0.685], [0.252, 0.260, 0.257], [0.744, 0.744, 0.000], [0.885, 0.138, 0.310], [0.622, 0.374, 0.315], [0.863, 0.089, 0.437], [0.630, 0.360, 0.441], [0.860, 0.130, 0.941], [0.727, 0.727, 0.500], [0.130, 0.860, 0.059], [0.241, 0.763, 0.863], [0.263, 0.741, 0.363], [0.741, 0.263, 0.637], [0.763, 0.241, 0.137], [0.402, 0.265, 0.453], [0.925, 0.832, 0.713], [0.332, 0.425, 0.213], [0.248, 0.021, 0.016], [0.860, 0.795, 0.555], [0.718, 0.569, 0.280], [0.748, 0.521, 0.484], [0.299, 0.083, 0.708], [0.295, 0.360, 0.055], [0.448, 0.661, 0.622], [0.727, 0.230, 0.290], [0.766, 0.404, 0.090], [0.602, 0.432, 0.873], [0.195, 0.673, 0.046], [0.782, 0.050, 0.107], [0.583, 0.799, 0.208], [0.569, 0.718, 0.720], [0.173, 0.695, 0.546], [0.444, 0.827, 0.320], [0.944, 0.327, 0.180], [0.218, 0.069, 0.220], [0.746, 0.899, 0.806], [0.266, 0.904, 0.410], [0.234, 0.052, 0.533], [0.695, 0.173, 0.454], [0.552, 0.734, 0.033], [0.102, 0.932, 0.627], [0.230, 0.727, 0.710], [0.265, 0.402, 0.547], [0.050, 0.782, 0.893], [0.730, 0.227, 0.790], [0.827, 0.444, 0.680], [0.765, 0.902, 0.953], [0.932, 0.102, 0.373], [0.399, 0.246, 0.306], [0.425, 0.332, 0.787], [0.521, 0.748, 0.516], [0.187, 0.557, 0.829], [0.899, 0.746, 0.194], [0.161, 0.948, 0.122], [0.404, 0.766, 0.910], [0.799, 0.583, 0.792], [0.661, 0.448, 0.378], [0.795, 0.860, 0.445], [0.083, 0.299, 0.292], [0.227, 0.730, 0.210], [0.734, 0.552, 0.967], [0.021, 0.248, 0.984], [0.832, 0.925, 0.287], [0.904, 0.266, 0.590], [0.550, 0.282, 0.607], [0.432, 0.602, 0.127], [0.948, 0.161, 0.878], [0.327, 0.944, 0.820], [0.360, 0.295, 0.945], [0.673, 0.195, 0.954], [0.902, 0.765, 0.047], [0.052, 0.234, 0.467], [0.282, 0.550, 0.393], [0.069, 0.218, 0.780], [0.057, 0.687, 0.329], [0.687, 0.057, 0.671], [0.246, 0.399, 0.694], [0.557, 0.187, 0.171]], "sg": "Aea2", "e_above_lowest_polymorph_mev_per_atom": 0, "formation_energy_uncorrected_kj_per_mol_fu": -7672, "energy_ev_per_atom": -7.79, "m_tot_mub_per_atom": 0.00}


Entry 11:
{"formula": "TeBrO3F5", "functional": "GGA-PBEsol", "state": "optimized geometry", "lattice": [[5.247, 0.000, -0.017], [0.000, 6.118, 0.000], [-0.164, 0.000, 20.166]], "species": ["Te", "Te", "Te", "Te", "Br", "Br", "Br", "Br", "O", "O", "O", "O", "O", "O", "O", "O", "O", "O", "O", "O", "F", "F", "F", "F", "F", "F", "F", "F", "F", "F", "F", "F", "F", "F", "F", "F", "F", "F", "F", "F"], "fractional_positions": [[0.753, 0.717, 0.092], [0.247, 0.217, 0.408], [0.753, 0.783, 0.592], [0.247, 0.283, 0.908], [0.250, 0.165, 0.743], [0.250, 0.335, 0.243], [0.750, 0.835, 0.257], [0.750, 0.665, 0.757], [0.406, 0.184, 0.192], [0.610, 0.684, 0.178], [0.051, 0.730, 0.756], [0.406, 0.316, 0.692], [0.594, 0.816, 0.808], [0.594, 0.684, 0.308], [0.949, 0.230, 0.744], [0.051, 0.770, 0.256], [0.390, 0.184, 0.322], [0.949, 0.270, 0.244], [0.610, 0.816, 0.678], [0.390, 0.316, 0.822], [0.894, 0.757, 0.508], [0.903, 0.518, 0.616], [0.948, 0.072, 0.381], [0.466, 0.863, 0.060], [0.466, 0.637, 0.560], [0.052, 0.572, 0.119], [0.052, 0.928, 0.619], [0.097, 0.018, 0.884], [0.894, 0.743, 0.008], [0.534, 0.137, 0.940], [0.097, 0.482, 0.384], [0.106, 0.243, 0.492], [0.390, 0.550, 0.932], [0.903, 0.982, 0.116], [0.610, 0.450, 0.068], [0.948, 0.428, 0.881], [0.534, 0.363, 0.440], [0.610, 0.050, 0.568], [0.390, 0.950, 0.432], [0.106, 0.257, 0.992]], "sg": "P2_1/c", "formation_energy_uncorrected_kj_per_mol_fu": -1113, "energy_ev_per_atom": -4.23, "m_tot_mub_per_atom": 0.00}


Entry 12:
{"formula": "BeHS2", "functional": "GGA-PBEsol", "state": "optimized geometry", "lattice": [[-2.070, -0.735, -4.148], [-3.949, -1.271, 2.196], [1.601, 5.286, 0.921]], "species": ["Be", "Be", "S", "S", "S", "S", "H", "H"], "fractional_positions": [[0.250, 0.750, 0.500], [0.000, 0.000, 0.000], [0.396, 0.875, 0.250], [0.854, 0.375, 0.250], [0.125, 0.146, 0.750], [0.625, 0.604, 0.750], [0.750, 0.250, 0.500], [0.500, 0.500, 0.000]], "sg": "I-42d", "e_above_lowest_polymorph_mev_per_atom": 0, "energy_ev_per_atom": -4.10, "m_tot_mub_per_atom": 0.00}


Entry 13:
{"formula": "BaLaAu2", "functional": "GGA-PBEsol", "state": "optimized geometry", "lattice": [[3.818, 0.000, 0.021], [0.000, 3.817, 0.000], [-0.040, 0.000, 7.737]], "species": ["Au", "Au", "Ba", "La"], "fractional_positions": [[0.000, 0.000, 0.705], [0.000, 0.000, 0.295], [0.500, 0.500, 0.000], [0.500, 0.500, 0.500]], "sg": "P4/mmm", "energy_ev_per_atom": -4.53, "m_tot_mub_per_atom": 0.00}


Entry 14:
{"formula": "Cu3P", "functional": "GGA-PBEsol", "state": "optimized geometry", "lattice": [[3.588, 0.000, 0.000], [0.000, 3.588, 0.000], [0.000, 0.000, 3.588]], "species": ["P", "Cu", "Cu", "Cu"], "fractional_positions": [[0.000, 0.000, 0.000], [0.000, 0.500, 0.500], [0.500, 0.000, 0.500], [0.500, 0.500, 0.000]], "sg": "Pm-3m", "energy_ev_per_atom": -4.72, "m_tot_mub_per_atom": 0.00}


Entry 15:
{"formula": "Na3B5Pt9", "functional": "GGA-PBEsol", "state": "optimized geometry", "lattice": [[-4.682, 2.966, -0.165], [-0.711, -6.291, 0.279], [-0.099, 0.679, 15.046]], "species": ["Na", "Na", "Na", "Na", "Na", "Na", "B", "B", "B", "B", "B", "B", "B", "B", "B", "B", "Pt", "Pt", "Pt", "Pt", "Pt", "Pt", "Pt", "Pt", "Pt", "Pt", "Pt", "Pt", "Pt", "Pt", "Pt", "Pt", "Pt", "Pt"], "fractional_positions": [[0.686, 0.372, 0.750], [0.314, 0.628, 0.250], [0.440, 0.881, 0.415], [0.560, 0.119, 0.585], [0.560, 0.119, 0.915], [0.440, 0.881, 0.085], [0.056, 0.111, 0.354], [0.944, 0.889, 0.646], [0.944, 0.889, 0.854], [0.056, 0.111, 0.146], [0.811, 0.621, 0.473], [0.189, 0.379, 0.527], [0.189, 0.379, 0.973], [0.811, 0.621, 0.027], [0.273, 0.546, 0.750], [0.727, 0.454, 0.250], [0.000, 0.000, 0.500], [0.000, 0.000, 0.000], [0.340, 0.171, 0.250], [0.168, 0.829, 0.750], [0.660, 0.829, 0.750], [0.832, 0.171, 0.250], [0.872, 0.744, 0.343], [0.128, 0.256, 0.657], [0.128, 0.256, 0.843], [0.872, 0.744, 0.157], [0.433, 0.368, 0.420], [0.064, 0.632, 0.580], [0.567, 0.632, 0.920], [0.936, 0.368, 0.080], [0.567, 0.632, 0.580], [0.936, 0.368, 0.420], [0.433, 0.368, 0.080], [0.064, 0.632, 0.920]], "sg": "Cmcm", "energy_ev_per_atom": -6.41, "m_tot_mub_per_atom": 0.00}


Entry 16:
{"formula": "HoNiSn", "functional": "GGA-PBEsol", "state": "optimized geometry", "lattice": [[4.390, 0.000, 0.000], [0.000, 6.992, 0.000], [0.000, 0.000, 7.556]], "species": ["Ho", "Ho", "Ho", "Ho", "Ni", "Ni", "Ni", "Ni", "Sn", "Sn", "Sn", "Sn"], "fractional_positions": [[0.750, 0.514, 0.198], [0.750, 0.014, 0.302], [0.250, 0.486, 0.802], [0.250, 0.986, 0.698], [0.250, 0.705, 0.413], [0.750, 0.295, 0.587], [0.750, 0.795, 0.913], [0.250, 0.205, 0.087], [0.750, 0.685, 0.585], [0.750, 0.185, 0.915], [0.250, 0.815, 0.085], [0.250, 0.315, 0.415]], "sg": "Pnma", "energy_ev_per_atom": -5.84, "m_tot_mub_per_atom": 0.00}


Entry 17:
{"formula": "InAs2P", "functional": "GGA-PBEsol", "state": "optimized geometry", "lattice": [[4.729, 0.000, 0.000], [2.364, 4.095, 0.000], [2.364, 1.365, 3.861]], "species": ["As", "As", "In", "P"], "fractional_positions": [[0.000, 0.000, 0.000], [0.250, 0.250, 0.250], [0.500, 0.500, 0.500], [0.750, 0.750, 0.750]], "sg": "F-43m", "e_above_lowest_polymorph_mev_per_atom": 0, "energy_ev_per_atom": -4.37, "m_tot_mub_per_atom": 0.00}